#i
## OsF (PBE)

Data for an optimized crystal structure of OsF.

Cell and atoms, written as extended XYZ:
```
2
Lattice="0.000 2.453 2.453 2.453 0.000 2.453 2.453 2.453 0.000" Properties=species:S:1:pos:R:3 pbc="T T T"
Os 0.000 0.000 0.000
F 1.226 1.226 1.226
```

## Properties
As for the space group: F-43m, No. 216.



#ii
## OsF (PBE)

Data for an optimized crystal structure of OsF.

Cell and atoms, written as extended XYZ:
```
2
Lattice="2.601 0.000 0.000 -1.300 2.252 0.000 0.000 0.000 4.153" Properties=species:S:1:pos:R:3 pbc="T T T"
Os 0.000 0.000 0.000
F 0.000 1.501 2.077
```

## Properties
As for the space group: P-6m2, No. 187.



In order of decreasing stability: #ii, #i.



#i
## OsF5 (PBE)

Data for an optimized crystal structure of OsF5.

Cell and atoms, written as extended XYZ:
```
48
Lattice="5.073 0.000 0.000 0.000 9.353 0.000 -1.743 0.000 11.519" Properties=species:S:1:pos:R:3 pbc="T T T"
Os -0.840 2.219 5.723
Os -1.712 2.457 11.483
Os 0.399 4.686 8.180
Os 1.270 9.343 2.421
Os 2.060 0.010 9.098
Os 2.931 4.667 3.338
Os 5.041 6.896 0.036
Os 4.170 7.133 5.796
F -1.258 5.437 8.653
F -0.387 8.592 2.893
F 0.230 1.599 1.775
F -0.641 3.077 7.535
F 0.236 6.224 1.739
F -0.636 7.805 7.498
F 0.093 0.752 6.337
F 0.964 3.925 0.577
F 0.098 5.461 6.337
F 0.970 8.568 0.578
F -0.145 1.552 10.968
F 0.726 3.125 5.209
F -0.141 6.210 10.953
F 0.731 7.819 5.193
F 1.382 5.471 4.021
F 0.511 8.558 9.780
F 1.468 0.825 4.054
F 0.596 3.852 9.814
F 1.168 1.548 8.604
F 2.039 3.129 2.845
F 1.291 6.224 8.674
F 2.162 7.805 2.915
F 2.734 5.501 1.705
F 1.862 8.528 7.465
F 2.819 0.795 1.739
F 1.948 3.882 7.498
F 2.599 1.534 6.326
F 3.471 3.142 0.566
F 2.603 6.228 6.310
F 3.475 7.801 0.551
F 2.360 0.785 10.941
F 3.232 3.892 5.182
F 2.365 5.428 10.942
F 3.237 8.601 5.182
F 3.966 1.548 4.020
F 3.094 3.128 9.780
F 3.971 6.275 3.984
F 3.099 7.754 9.744
F 3.717 0.760 8.626
F 4.588 3.916 2.866
```

## Properties
As for the space group: P2_1/c, No. 14.



#ii
## OsF5 (PBE)

Data for an optimized crystal structure of OsF5.

Cell and atoms, written as extended XYZ:
```
12
Lattice="5.317 0.000 0.000 -2.659 4.605 0.000 0.000 0.000 5.992" Properties=species:S:1:pos:R:3 pbc="T T T"
Os 0.000 3.070 1.498
Os 2.659 1.535 4.494
F 0.000 1.276 1.498
F -1.554 3.967 1.498
F 1.105 0.638 4.494
F 0.000 3.070 3.416
F 0.000 3.070 5.572
F 2.659 1.535 0.420
F 2.659 1.535 2.576
F 1.554 3.967 1.498
F 4.212 0.638 4.494
F 2.659 3.329 4.494
```

## Properties
As for the space group: P6_3/mmc, No. 194.



In order of decreasing stability: #i, #ii.



#i
## OsF5 (PBE)

Data for an optimized crystal structure of OsF5.

Cell and atoms, written as extended XYZ:
```
6
Lattice="-2.922 2.922 1.977 2.922 -2.922 1.977 2.922 2.922 -1.977" Properties=species:S:1:pos:R:3 pbc="T T T"
Os 0.000 0.000 0.000
F 4.072 0.599 0.000
F 0.599 1.773 0.000
F 0.000 0.000 1.977
F 2.323 1.150 1.977
F -1.150 2.323 1.977
```

## Properties
As for the space group: I4/m, No. 87.



#ii
## OsF5 (PBE)

Data for an optimized crystal structure of OsF5.

Cell and atoms, written as extended XYZ:
```
12
Lattice="4.524 0.000 0.000 2.202 4.611 0.000 0.049 2.182 6.646" Properties=species:S:1:pos:R:3 pbc="T T T"
Os 1.130 1.766 1.491
Os 5.646 5.027 5.155
F 1.854 3.286 0.341
F 2.560 4.904 2.296
F 1.932 2.359 3.044
F 2.632 3.944 4.890
F 4.131 6.011 5.671
F 2.645 0.782 0.974
F 4.144 2.849 1.756
F 4.843 4.433 3.601
F 4.216 1.888 4.350
F 4.921 3.506 6.305
```

## Properties
As for the space group: P-1, No. 2.



In order of decreasing stability: #ii, #i.



#i
## OsF2 (PBE)

Data for an optimized crystal structure of OsF2.

Cell and atoms, written as extended XYZ:
```
6
Lattice="0.000 4.770 4.770 4.770 0.000 4.770 4.770 4.770 0.000" Properties=species:S:1:pos:R:3 pbc="T T T"
Os 1.192 1.192 1.192
Os 8.347 8.347 8.347
F 0.000 0.000 0.000
F 2.385 2.385 0.000
F 2.385 0.000 2.385
F 0.000 2.385 2.385
```

## Properties
As for the space group: Fd-3m, No. 227.



#ii
## OsF2 (PBE)

Data for an optimized crystal structure of OsF2.

Cell and atoms, written as extended XYZ:
```
6
Lattice="4.727 0.000 0.000 0.000 4.727 0.000 0.000 0.000 3.403" Properties=species:S:1:pos:R:3 pbc="T T T"
Os 0.000 0.000 0.000
Os 2.363 2.363 1.701
F 0.888 0.888 1.701
F 1.476 3.251 0.000
F 3.251 1.476 0.000
F 3.839 3.839 1.701
```

## Properties
As for the space group: P4_2/mnm, No. 136.



#iii
## OsF2 (PBE)

Data for an optimized crystal structure of OsF2.

Cell and atoms, written as extended XYZ:
```
6
Lattice="0.000 3.104 3.104 3.104 0.000 3.104 3.104 3.104 0.000" Properties=species:S:1:pos:R:3 pbc="T T T"
Os 0.776 0.776 0.776
Os 5.432 5.432 5.432
F 3.104 1.552 1.552
F 1.552 3.104 1.552
F 1.552 1.552 3.104
F 3.104 3.104 3.104
```

## Properties
As for the space group: Fd-3m, No. 227.



In order of decreasing stability: #ii, #i, #iii.